The following is a PBE calculation of TlGeN2F after structural relaxation, from Alexandria via LeMat-Bulk.

abc: 4.317 4.317 4.483
angles: 90.00 90.00 90.00
Element x y z (fractional)
1 Tl 0.000 0.000 0.000
2 Ge 0.500 0.500 0.500
3 N 0.000 0.500 0.000
4 N 0.500 0.000 0.000
5 F 0.000 0.000 0.500

Values from the calculation:
- Formation energy (no corrections): 1.138 eV/atom
- Excess energy over the best structure of this formula in the dataset: 852.9 meV per atom
- Energy: -0.1456 Ha/atom
- Spin magnetization: 0.30 μB/atom
- Space-group type: No. 123